(1)
Crystalline Li5Mn3H12 at its relaxed geometry, computed with PBE-GGA.

Cell lengths 8.7749, 8.7749, 8.7749 Å; angles 109.47, 109.47, 109.47 degrees
Last column: nearest neighbours and their distance in Å.
Sites, in units of the cell vectors:
Mn  0.7500  0.3750  0.1250  8 H 1.77-1.82
Mn  0.8750  0.7500  0.1250  8 H 1.77-1.82
Mn  0.3750  0.7500  0.6250  8 H 1.77-1.82
Mn  0.2500  0.1250  0.3750  8 H 1.77-1.82
Mn  0.8750  0.1250  0.2500  8 H 1.77-1.82
Mn  0.3750  0.6250  0.2500  8 H 1.77-1.82
Mn  0.6250  0.3750  0.7500  8 H 1.77-1.82
Mn  0.1250  0.8750  0.7500  8 H 1.77-1.82
Mn  0.7500  0.8750  0.6250  8 H 1.77-1.82
Mn  0.6250  0.2500  0.3750  8 H 1.77-1.82
Mn  0.1250  0.2500  0.8750  8 H 1.77-1.82
Mn  0.2500  0.6250  0.8750  8 H 1.77-1.82
Li  0.1250  0.3750  0.2500  4 H 1.70
Li  0.0000  0.5000  0.0000  6 H 1.79
Li  0.0000  0.0000  0.0000  6 H 1.79
Li  0.3750  0.2500  0.1250  4 H 1.70
Li  0.5000  0.0000  0.5000  6 H 1.79
Li  0.5000  0.5000  0.0000  6 H 1.79
Li  0.1250  0.7500  0.3750  4 H 1.70
Li  0.7500  0.1250  0.8750  4 H 1.70
Li  0.7500  0.6250  0.3750  4 H 1.70
Li  0.3750  0.1250  0.7500  4 H 1.70
Li  0.6250  0.8750  0.2500  4 H 1.70
Li  0.5000  0.5000  0.5000  6 H 1.79
Li  0.5000  0.0000  0.0000  6 H 1.79
Li  0.0000  0.0000  0.5000  6 H 1.79
Li  0.2500  0.3750  0.6250  4 H 1.70
Li  0.2500  0.8750  0.1250  4 H 1.70
Li  0.0000  0.5000  0.5000  6 H 1.79
Li  0.8750  0.2500  0.6250  4 H 1.70
Li  0.6250  0.7500  0.8750  4 H 1.70
Li  0.8750  0.6250  0.7500  4 H 1.70
H  0.7370  0.1507  0.0704  2 Li 1.70-1.79, 1 H 1.71, 2 Mn 1.77-1.82
H  0.3334  0.5704  0.4196  2 Li 1.70-1.79, 1 H 1.71, 2 Mn 1.77-1.82
H  0.9296  0.3493  0.2630  2 Li 1.70-1.79, 1 H 1.71, 2 Mn 1.77-1.82
H  0.5704  0.2370  0.1507  2 Li 1.70-1.79, 1 H 1.71, 2 Mn 1.77-1.82
H  0.5862  0.7370  0.6666  2 Li 1.70-1.79, 1 H 1.71, 2 Mn 1.77-1.82
H  0.9296  0.5804  0.1666  2 Li 1.70-1.79, 1 H 1.71, 2 Mn 1.77-1.82
H  0.3334  0.7630  0.4138  2 Li 1.70-1.79, 1 H 1.71, 2 Mn 1.77-1.82
H  0.0804  0.9138  0.1507  2 Li 1.70-1.79, 1 H 1.71, 2 Mn 1.77-1.82
H  0.5804  0.9296  0.6666  2 Li 1.70-1.79, 1 H 1.71, 2 Mn 1.77-1.82
H  0.7370  0.5862  0.1666  2 Li 1.70-1.79, 1 H 1.71, 2 Mn 1.77-1.82
H  0.7630  0.4296  0.3493  2 Li 1.70-1.79, 1 H 1.71, 2 Mn 1.77-1.82
H  0.8334  0.9196  0.0704  2 Li 1.70-1.79, 1 H 1.71, 2 Mn 1.77-1.82
H  0.1507  0.7370  0.5704  2 Li 1.70-1.79, 1 H 1.71, 2 Mn 1.77-1.82
H  0.3493  0.4196  0.0862  2 Li 1.70-1.79, 1 H 1.71, 2 Mn 1.77-1.82
H  0.0862  0.9196  0.3493  2 Li 1.70-1.79, 1 H 1.71, 2 Mn 1.77-1.82
H  0.4138  0.1507  0.5804  2 Li 1.70-1.79, 1 H 1.71, 2 Mn 1.77-1.82
H  0.0862  0.1666  0.2370  2 Li 1.70-1.79, 1 H 1.71, 2 Mn 1.77-1.82
H  0.4296  0.6666  0.0804  2 Li 1.70-1.79, 1 H 1.71, 2 Mn 1.77-1.82
H  0.8334  0.9138  0.2630  2 Li 1.70-1.79, 1 H 1.71, 2 Mn 1.77-1.82
H  0.1507  0.4138  0.0804  2 Li 1.70-1.79, 1 H 1.71, 2 Mn 1.77-1.82
H  0.3493  0.9296  0.7630  2 Li 1.70-1.79, 1 H 1.71, 2 Mn 1.77-1.82
H  0.5804  0.6507  0.4138  2 Li 1.70-1.79, 1 H 1.71, 2 Mn 1.77-1.82
H  0.9196  0.8334  0.5704  2 Li 1.70-1.79, 1 H 1.71, 2 Mn 1.77-1.82
H  0.7630  0.3334  0.9138  2 Li 1.70-1.79, 1 H 1.71, 2 Mn 1.77-1.82
H  0.4196  0.3493  0.5862  2 Li 1.70-1.79, 1 H 1.71, 2 Mn 1.77-1.82
H  0.0804  0.1666  0.4296  2 Li 1.70-1.79, 1 H 1.71, 2 Mn 1.77-1.82
H  0.2370  0.6666  0.0862  2 Li 1.70-1.79, 1 H 1.71, 2 Mn 1.77-1.82
H  0.1666  0.0862  0.7370  2 Li 1.70-1.79, 1 H 1.71, 2 Mn 1.77-1.82
H  0.6507  0.0704  0.2370  2 Li 1.70-1.79, 1 H 1.71, 2 Mn 1.77-1.82
H  0.8493  0.5862  0.9196  2 Li 1.70-1.79, 1 H 1.71, 2 Mn 1.77-1.82
H  0.5704  0.3334  0.9196  2 Li 1.70-1.79, 1 H 1.71, 2 Mn 1.77-1.82
H  0.5862  0.8493  0.4196  2 Li 1.70-1.79, 1 H 1.71, 2 Mn 1.77-1.82
H  0.9138  0.8334  0.7630  2 Li 1.70-1.79, 1 H 1.71, 2 Mn 1.77-1.82
H  0.9138  0.0804  0.6507  2 Li 1.70-1.79, 1 H 1.71, 2 Mn 1.77-1.82
H  0.8493  0.2630  0.4296  2 Li 1.70-1.79, 1 H 1.71, 2 Mn 1.77-1.82
H  0.1666  0.0804  0.9296  2 Li 1.70-1.79, 1 H 1.71, 2 Mn 1.77-1.82
H  0.6507  0.5804  0.9138  2 Li 1.70-1.79, 1 H 1.71, 2 Mn 1.77-1.82
H  0.4196  0.0704  0.3334  2 Li 1.70-1.79, 1 H 1.71, 2 Mn 1.77-1.82
H  0.2630  0.4138  0.8334  2 Li 1.70-1.79, 1 H 1.71, 2 Mn 1.77-1.82
H  0.2370  0.5704  0.6507  2 Li 1.70-1.79, 1 H 1.71, 2 Mn 1.77-1.82
H  0.9196  0.0862  0.8493  2 Li 1.70-1.79, 1 H 1.71, 2 Mn 1.77-1.82
H  0.6666  0.2370  0.5862  2 Li 1.70-1.79, 1 H 1.71, 2 Mn 1.77-1.82
H  0.4296  0.7630  0.8493  2 Li 1.70-1.79, 1 H 1.71, 2 Mn 1.77-1.82
H  0.0704  0.4196  0.8334  2 Li 1.70-1.79, 1 H 1.71, 2 Mn 1.77-1.82
H  0.4138  0.2630  0.3334  2 Li 1.70-1.79, 1 H 1.71, 2 Mn 1.77-1.82
H  0.0704  0.6507  0.7370  2 Li 1.70-1.79, 1 H 1.71, 2 Mn 1.77-1.82
H  0.6666  0.4296  0.5804  2 Li 1.70-1.79, 1 H 1.71, 2 Mn 1.77-1.82
H  0.2630  0.8493  0.9296  2 Li 1.70-1.79, 1 H 1.71, 2 Mn 1.77-1.82

SG = Ia-3d
ρ = 2.70 g cm⁻³
total moment = 5.0 μB per formula unit
final energy = -3.906 eV per atom


(2)
Crystalline RbHg6 at its relaxed geometry, computed with PBE-GGA.

Cell lengths 6.9094, 6.9094, 9.6114 Å; angles 90.00, 90.00, 90.00 degrees
Last column: nearest neighbours and their distance in Å.
Sites, in units of the cell vectors:
Rb  0.5000  0.0000  0.0000  12 Hg 3.82-3.85
Rb  0.0000  0.5000  0.0000  12 Hg 3.82-3.85
Hg  0.5000  0.5000  0.1700  5 Hg 3.17-3.27
Hg  0.0000  0.0000  0.1700  5 Hg 3.17-3.27
Hg  0.0000  0.0000  0.8300  5 Hg 3.17-3.27
Hg  0.5000  0.5000  0.8300  5 Hg 3.17-3.27
Hg  0.8330  0.6670  0.3628  4 Hg 3.10-3.26
Hg  0.3330  0.8330  0.3628  4 Hg 3.10-3.26
Hg  0.6670  0.1670  0.3628  4 Hg 3.10-3.26
Hg  0.1670  0.3330  0.3628  4 Hg 3.10-3.26
Hg  0.6670  0.8330  0.6372  4 Hg 3.10-3.26
Hg  0.1670  0.6670  0.6372  4 Hg 3.10-3.26
Hg  0.8330  0.3330  0.6372  4 Hg 3.10-3.26
Hg  0.3330  0.1670  0.6372  4 Hg 3.10-3.26

calculated formation energy = -0.9 eV per formula unit
SG = P4/nbm
ρ = 9.33 g cm⁻³
total moment = 0.0 μB per formula unit
distance to the lowest polymorph of the same formula = 0.0 meV per atom


(3)
Crystalline Be2SiPd4 at its relaxed geometry, computed with PBE-GGA.

Cell lengths 4.9470, 4.9470, 4.9470 Å; angles 107.98, 110.22, 110.22 degrees
Last column: nearest neighbours and their distance in Å.
Sites, in units of the cell vectors:
Be  0.5000  0.5000  0.0000  8 Pd 2.47
Be  0.5000  0.0000  0.5000  8 Pd 2.47
Si  0.0000  0.0000  0.0000  8 Pd 2.47
Pd  0.5000  0.0000  0.0000  2 Si 2.47, 4 Be 2.47
Pd  0.5000  0.5000  0.5000  4 Be 2.47, 2 Si 2.47
Pd  0.0000  0.0000  0.5000  4 Be 2.47, 2 Si 2.47
Pd  0.0000  0.5000  0.0000  4 Be 2.47, 2 Si 2.47

SG = I4/mmm
uncorrected formation energy = -3.648 eV/f.u.
ρ = 8.41 g cm⁻³
total moment = 0.0 μB per formula unit


Which formula does entry 3 have? Be2SiPd4